# PPtPb2 (GGA-PBE, relaxed)
data_PPtPb2
_chemical_formula_sum 'P2 Pt2 Pb4'
_cell_length_a 3.4038
_cell_length_b 5.4549
_cell_length_c 10.2243
_cell_angle_alpha 90.00
_cell_angle_beta 90.00
_cell_angle_gamma 90.00
_space_group_name_H-M_alt 'I m m 2'
_space_group_IT_number 44
_space_group_name_Hall 'I 2 -2'
loop_
_atom_site_label
_atom_site_type_symbol
_atom_site_fract_x
_atom_site_fract_y
_atom_site_fract_z
P1 P 0.0000 0.0000 0.0000
Pt1 Pt 0.0000 0.5000 0.3474
Pb1 Pb 0.0000 0.0000 0.5867
Pb2 Pb 0.0000 0.5000 0.7950
# - Energy of formation: -0.01 eV/atom
# - Mass density: 11.20 Mg/m³
# - Final energy: -4.73 eV/atom
# - Size of the total moment: 0.00 μB per cell
# - DOS at the Fermi energy: 0.514 states/eV/atom